[1]
The following is a PBE calculation of a relaxed structure of Ac2NpGeO8, from Alexandria via LeMat-Bulk.

Computed properties:
The value obtained for the electronic total energy is -7.56 eV/atom. The space group is P-3m1. For the uncorrected formation energy, the calculation gives -2.11 eV/atom. For the density of states at the Fermi level, the calculation gives 9.5 states/eV/f.u.

Cell and atoms, written as extended XYZ:
```
12
Lattice="5.744 0.000 0.000 -2.872 4.975 0.000 0.000 0.000 6.010" Properties=species:S:1:pos:R:3 pbc="T T T"
Ac 0.000 3.316 2.217
Ac 2.872 1.658 3.793
Np 0.000 0.000 0.000
Ge 0.000 0.000 3.005
O 0.000 1.491 4.192
O -1.581 4.229 4.192
O 1.291 0.745 1.818
O 0.000 3.316 0.113
O 2.872 1.658 5.897
O 1.581 4.229 4.192
O 4.453 0.745 1.818
O 2.872 3.484 1.818
```

***

[2]
The following is a PBE calculation of a relaxed structure of TbTlGeS4, from Alexandria via LeMat-Bulk.

Computed properties:
The value obtained for the electronic total energy is -5.02 eV/atom. The space group is P2_1/m. For the uncorrected formation energy, the calculation gives -1.00 eV/atom. For the density of states at the Fermi level, the calculation gives 0.0 states/eV/f.u.

Cell and atoms, written as extended XYZ:
```
14
Lattice="6.530 0.000 0.000 0.000 6.673 0.000 -2.559 0.000 8.395" Properties=species:S:1:pos:R:3 pbc="T T T"
Tb 1.343 1.668 0.445
Tb 2.628 5.005 7.950
Tl 0.258 1.668 4.780
Tl 3.713 5.005 3.615
Ge -0.620 5.005 6.942
Ge 4.592 1.668 1.453
S -0.528 3.379 1.743
S -0.528 6.630 1.743
S 1.122 5.005 5.597
S 2.636 5.005 0.660
S 1.336 1.668 7.735
S 2.850 1.668 2.798
S 4.499 0.043 6.652
S 4.499 3.294 6.652
```

***

[3]
The following is a PBE calculation of a relaxed structure of ReRuBr2, from Alexandria via LeMat-Bulk.

Computed properties:
The value obtained for the electronic total energy is -6.00 eV/atom. The space group is Pm. For the uncorrected formation energy, the calculation gives 0.27 eV/atom. For the density of states at the Fermi level, the calculation gives 3.2 states/eV/f.u.

Cell and atoms, written as extended XYZ:
```
4
Lattice="3.113 0.000 0.000 0.000 3.033 0.000 -0.060 0.000 9.111" Properties=species:S:1:pos:R:3 pbc="T T T"
Re 0.000 0.000 0.000
Ru 1.557 1.516 1.457
Br 1.564 0.000 3.583
Br 3.052 1.516 7.076
```

***

[4]
The following is a PBE calculation of a relaxed structure of ZnPd6Au5, from Alexandria via LeMat-Bulk.

Computed properties:
The value obtained for the electronic total energy is -4.23 eV/atom. The value obtained for the formation energy is -0.162 eV per atom. The space group is C2/m. For the density of states at the Fermi level, the calculation gives 4.6 states/eV/f.u.

Cell and atoms, written as extended XYZ:
```
12
Lattice="2.248 -6.750 0.000 2.248 6.750 0.000 -0.009 0.000 6.497" Properties=species:S:1:pos:R:3 pbc="T T T"
Zn 0.000 0.000 0.000
Pd 2.247 4.579 1.586
Pd 2.241 4.579 4.911
Pd 2.246 0.000 1.524
Pd 2.242 0.000 4.973
Pd 2.247 -4.579 1.586
Pd 2.241 -4.579 4.911
Au -0.004 0.000 3.248
Au 2.248 2.302 0.000
Au 2.244 2.255 3.248
Au 2.244 -2.255 3.248
Au 2.248 -2.302 0.000
```

***

[5]
The following is a PBE calculation of a relaxed structure of La2Tb4Dy3, from Alexandria via LeMat-Bulk.

Computed properties:
The value obtained for the electronic total energy is -4.64 eV/atom. The value obtained for the formation energy is 0.051 eV per atom. The space group is P3m1. For the density of states at the Fermi level, the calculation gives 16.8 states/eV/f.u.

Cell and atoms, written as extended XYZ:
```
9
Lattice="3.613 0.000 0.000 -1.806 3.129 0.000 0.000 0.000 26.634" Properties=species:S:1:pos:R:3 pbc="T T T"
La 0.000 0.000 0.000
La 0.000 0.000 5.944
Tb 0.000 0.000 9.478
Tb 0.000 0.000 15.114
Tb 0.000 2.086 17.952
Tb 0.000 2.086 23.616
Dy 0.000 0.000 20.798
Dy 0.000 2.086 3.031
Dy 0.000 2.086 12.252
```

***

[6]
The following is a PBE calculation of a relaxed structure of Ti2Zn2Ni, from Alexandria via LeMat-Bulk.

Computed properties:
The value obtained for the electronic total energy is -4.91 eV/atom. The value obtained for the formation energy is -0.086 eV per atom. The space group is P4/mbm. For the density of states at the Fermi level, the calculation gives 5.1 states/eV/f.u.

Cell and atoms, written as extended XYZ:
```
10
Lattice="6.403 0.000 0.000 0.000 6.403 0.000 0.000 0.000 3.668" Properties=species:S:1:pos:R:3 pbc="T T T"
Ti 1.079 2.123 0.000
Ti 2.123 5.324 0.000
Ti 4.280 1.079 0.000
Ti 5.324 4.280 0.000
Zn 0.868 4.069 1.834
Zn 2.334 0.868 1.834
Zn 4.069 5.535 1.834
Zn 5.535 2.334 1.834
Ni 0.000 0.000 1.834
Ni 3.202 3.202 1.834
```

***

[7]
The following is a PBE calculation of a relaxed structure of La12Nd7Y, from Alexandria via LeMat-Bulk.

Computed properties:
The value obtained for the electronic total energy is -4.77 eV/atom. The value obtained for the formation energy is 0.175 eV per atom. The space group is R-3m. For the density of states at the Fermi level, the calculation gives 25.7 states/eV/f.u.

Cell and atoms, written as extended XYZ:
```
20
Lattice="9.892 5.711 2.155 -9.892 5.711 2.155 0.000 -11.422 2.155" Properties=species:S:1:pos:R:3 pbc="T T T"
La -4.030 -4.442 2.155
La -5.862 -1.269 2.155
La 0.000 -4.061 1.225
La -3.517 2.030 1.225
La -5.862 1.269 4.310
La -1.832 5.711 2.155
La 3.517 2.030 1.225
La -3.516 -2.030 5.240
La -4.030 4.442 4.310
La 1.832 5.711 2.155
La 3.517 -2.030 5.240
La 0.000 4.061 5.240
Nd 0.000 0.000 0.000
Nd -2.501 -1.444 1.932
Nd 2.501 -1.444 1.932
Nd 0.000 2.888 1.932
Nd 0.000 -2.888 4.533
Nd -2.501 1.444 4.533
Nd 2.501 1.444 4.533
Y 0.000 0.000 3.232
```

***

[8]
The following is a PBE calculation of a relaxed structure of PrNd2Y3As6, from Alexandria via LeMat-Bulk.

Computed properties:
The value obtained for the electronic total energy is -6.66 eV/atom. The value obtained for the formation energy is -1.527 eV per atom. The space group is C2/m. For the density of states at the Fermi level, the calculation gives 1.8 states/eV/f.u.

Cell and atoms, written as extended XYZ:
```
12
Lattice="9.160 -2.104 0.000 9.160 2.104 0.000 -1.916 0.000 8.183" Properties=species:S:1:pos:R:3 pbc="T T T"
Pr 0.000 0.000 0.000
Nd 4.826 0.000 5.454
Nd 11.578 0.000 2.729
Y -0.958 0.000 4.092
Y 5.788 0.000 1.366
Y 10.616 0.000 6.817
As 1.891 0.000 4.812
As 2.948 0.000 0.644
As 8.635 0.000 2.098
As 7.769 0.000 6.085
As 13.456 0.000 7.539
As 14.512 0.000 3.371
```